(1)
Density functional theory data (PBE) for a relaxed ZnPd4Au crystal.

POSCAR file:
```
ZnPd4Au
1.0
2.137 1.234 6.629
-2.137 1.234 6.629
0.000 -2.467 6.629
Zn Pd Au
1 4 1
Direct
0.000 0.000 0.000 Zn
0.228 0.228 0.228 Pd
0.367 0.367 0.367 Pd
0.633 0.633 0.633 Pd
0.772 0.772 0.772 Pd
0.500 0.500 0.500 Au
```

Calculated values
polymorph energy (0 for the lowest one) = 228 meV per atom

(2)
Density functional theory data (PBE) for a relaxed ZnPd2Au5 crystal.

POSCAR file:
```
ZnPd2Au5
1.0
2.177 -8.603 0.000
2.177 8.603 0.000
0.000 0.000 9.853
Zn Pd Au
2 4 10
Direct
0.163 0.837 0.750 Zn
0.837 0.163 0.250 Zn
0.122 0.878 0.109 Pd
0.122 0.878 0.391 Pd
0.878 0.122 0.609 Pd
0.878 0.122 0.891 Pd
0.036 0.964 0.617 Au
0.036 0.964 0.883 Au
0.258 0.742 0.250 Au
0.282 0.718 0.564 Au
0.282 0.718 0.936 Au
0.718 0.282 0.064 Au
0.718 0.282 0.436 Au
0.742 0.258 0.750 Au
0.964 0.036 0.117 Au
0.964 0.036 0.383 Au
```

Calculated values
polymorph energy (0 for the lowest one) = 462 meV per atom

(3)
Density functional theory data (PBE) for a relaxed Zn2Pd3Au4 crystal.

POSCAR file:
```
Zn2Pd3Au4
1.0
8.076 -1.444 0.000
8.076 1.444 0.000
-1.332 0.000 6.525
Zn Pd Au
2 3 4
Direct
0.145 0.145 0.072 Zn
0.855 0.855 0.928 Zn
0.386 0.386 0.616 Pd
0.500 0.500 0.000 Pd
0.614 0.614 0.384 Pd
0.052 0.052 0.693 Au
0.226 0.226 0.714 Au
0.774 0.774 0.286 Au
0.948 0.948 0.307 Au
```

Calculated values
polymorph energy (0 for the lowest one) = 11 meV per atom

(4)
Density functional theory data (PBE) for a relaxed Zn2Pd5Au2 crystal.

POSCAR file:
```
Zn2Pd5Au2
1.0
4.046 0.000 0.000
-0.002 6.095 0.000
-2.015 -1.987 5.702
Zn Pd Au
2 5 2
Direct
0.152 0.495 0.305 Zn
0.848 0.505 0.695 Zn
0.056 0.835 0.111 Pd
0.384 0.816 0.768 Pd
0.500 0.500 0.000 Pd
0.616 0.184 0.232 Pd
0.944 0.165 0.889 Pd
0.277 0.183 0.555 Au
0.723 0.817 0.445 Au
```

Calculated values
polymorph energy (0 for the lowest one) = 0 meV per atom

(5)
Density functional theory data (PBE) for a relaxed Zn2Pd7Au3 crystal.

POSCAR file:
```
Zn2Pd7Au3
1.0
2.878 -3.799 0.000
2.878 3.799 0.000
-2.839 0.000 8.672
Zn Pd Au
2 7 3
Direct
0.167 0.167 0.334 Zn
0.833 0.833 0.666 Zn
0.085 0.584 0.171 Pd
0.249 0.751 0.500 Pd
0.416 0.915 0.829 Pd
0.500 0.500 0.000 Pd
0.584 0.085 0.171 Pd
0.751 0.249 0.500 Pd
0.915 0.416 0.829 Pd
0.000 0.000 0.000 Au
0.334 0.334 0.666 Au
0.666 0.666 0.334 Au
```

Calculated values
polymorph energy (0 for the lowest one) = 0 meV per atom

(6)
Density functional theory data (PBE) for a relaxed Zn3PdAu3 crystal.

POSCAR file:
```
Zn3PdAu3
1.0
3.637 2.100 5.415
-3.637 2.100 5.415
0.000 -4.199 5.415
Zn Pd Au
6 2 6
Direct
0.055 0.744 0.355 Zn
0.256 0.645 0.945 Zn
0.355 0.055 0.744 Zn
0.645 0.945 0.256 Zn
0.744 0.355 0.055 Zn
0.945 0.256 0.645 Zn
0.337 0.337 0.337 Pd
0.663 0.663 0.663 Pd
0.105 0.474 0.768 Au
0.232 0.895 0.526 Au
0.474 0.768 0.105 Au
0.526 0.232 0.895 Au
0.768 0.105 0.474 Au
0.895 0.526 0.232 Au
```

Calculated values
polymorph energy (0 for the lowest one) = 24 meV per atom

(7)
Density functional theory data (PBE) for a relaxed Zn3PdAu3 crystal.

POSCAR file:
```
Zn3PdAu3
1.0
4.421 -4.485 0.000
4.421 4.485 0.000
0.000 0.000 5.921
Zn Pd Au
6 2 6
Direct
0.000 0.000 0.238 Zn
0.000 0.000 0.762 Zn
0.000 0.500 0.244 Zn
0.000 0.500 0.756 Zn
0.500 0.000 0.244 Zn
0.500 0.000 0.756 Zn
0.250 0.750 0.000 Pd
0.750 0.250 0.000 Pd
0.251 0.749 0.500 Au
0.280 0.280 0.500 Au
0.283 0.283 0.000 Au
0.717 0.717 0.000 Au
0.720 0.720 0.500 Au
0.749 0.251 0.500 Au
```

Calculated values
polymorph energy (0 for the lowest one) = 0 meV per atom

(8)
Density functional theory data (PBE) for a relaxed Zn4Pd3Au4 crystal.

POSCAR file:
```
Zn4Pd3Au4
1.0
2.902 0.000 0.000
-0.019 3.445 0.000
-1.287 -1.633 17.445
Zn Pd Au
4 3 4
Direct
0.041 0.041 0.084 Zn
0.330 0.326 0.648 Zn
0.670 0.674 0.352 Zn
0.959 0.959 0.916 Zn
0.134 0.137 0.275 Pd
0.500 0.500 0.000 Pd
0.866 0.863 0.725 Pd
0.218 0.220 0.444 Au
0.415 0.415 0.828 Au
0.585 0.585 0.172 Au
0.782 0.780 0.556 Au
```

(9)
Density functional theory data (PBE) for a relaxed Zn2Pd5Au5 crystal.

POSCAR file:
```
Zn2Pd5Au5
1.0
6.132 -2.007 0.000
6.132 2.007 0.000
-4.208 0.000 7.905
Zn Pd Au
2 5 5
Direct
0.158 0.158 0.497 Zn
0.842 0.842 0.503 Zn
0.334 0.334 0.000 Pd
0.404 0.404 0.730 Pd
0.500 0.500 0.500 Pd
0.596 0.596 0.270 Pd
0.666 0.666 0.000 Pd
0.000 0.000 0.000 Au
0.081 0.081 0.749 Au
0.252 0.252 0.260 Au
0.748 0.748 0.740 Au
0.919 0.919 0.251 Au
```

Calculated values
polymorph energy (0 for the lowest one) = 6 meV per atom

(10)
Density functional theory data (PBE) for a relaxed Zn2PdAu2 crystal.

POSCAR file:
```
Zn2PdAu2
1.0
7.444 0.000 0.000
0.000 7.444 0.000
0.000 0.000 3.001
Zn Pd Au
4 2 4
Direct
0.163 0.337 0.000 Zn
0.337 0.837 0.000 Zn
0.663 0.163 0.000 Zn
0.837 0.663 0.000 Zn
0.000 0.000 0.500 Pd
0.500 0.500 0.500 Pd
0.138 0.638 0.500 Au
0.362 0.138 0.500 Au
0.638 0.862 0.500 Au
0.862 0.362 0.500 Au
```

Calculated values
polymorph energy (0 for the lowest one) = 118 meV per atom

(11)
Density functional theory data (PBE) for a relaxed Zn2Pd4Au crystal.

POSCAR file:
```
Zn2Pd4Au
1.0
6.543 0.000 0.000
0.000 5.414 0.000
-3.017 0.000 6.253
Zn Pd Au
4 8 2
Direct
0.048 0.250 0.341 Zn
0.263 0.750 0.075 Zn
0.737 0.250 0.925 Zn
0.952 0.750 0.659 Zn
0.208 0.250 0.065 Pd
0.347 0.504 0.773 Pd
0.347 0.996 0.773 Pd
0.477 0.250 0.493 Pd
0.523 0.750 0.507 Pd
0.653 0.004 0.227 Pd
0.653 0.496 0.227 Pd
0.792 0.750 0.935 Pd
0.073 0.750 0.355 Au
0.927 0.250 0.645 Au
```

Calculated values
polymorph energy (0 for the lowest one) = 0 meV per atom

(12)
Density functional theory data (PBE) for a relaxed Zn6Pd3Au2 crystal.

POSCAR file:
```
Zn6Pd3Au2
1.0
-2.017 2.017 11.806
2.017 -2.017 11.806
2.017 2.017 -11.806
Zn Pd Au
6 3 2
Direct
0.066 0.566 0.500 Zn
0.238 0.238 0.000 Zn
0.434 0.934 0.500 Zn
0.566 0.066 0.500 Zn
0.762 0.762 0.000 Zn
0.934 0.434 0.500 Zn
0.000 0.000 0.000 Pd
0.134 0.134 0.000 Pd
0.866 0.866 0.000 Pd
0.347 0.347 0.000 Au
0.653 0.653 0.000 Au
```

(13)
Density functional theory data (PBE) for a relaxed Zn5Pd2Au5 crystal.

POSCAR file:
```
Zn5Pd2Au5
1.0
3.727 -2.280 0.000
3.727 2.280 0.000
-2.032 0.000 11.710
Zn Pd Au
5 2 5
Direct
0.000 0.000 0.000 Zn
0.134 0.134 0.432 Zn
0.365 0.365 0.194 Zn
0.635 0.635 0.806 Zn
0.866 0.866 0.568 Zn
0.029 0.029 0.215 Pd
0.971 0.971 0.785 Pd
0.267 0.267 0.667 Au
0.329 0.329 0.921 Au
0.500 0.500 0.500 Au
0.671 0.671 0.079 Au
0.733 0.733 0.333 Au
```

Calculated values
polymorph energy (0 for the lowest one) = 24 meV per atom

(14)
Density functional theory data (PBE) for a relaxed Zn5Pd2Au crystal.

POSCAR file:
```
Zn5Pd2Au
1.0
-2.023 2.023 7.378
2.023 -2.023 7.378
2.023 2.023 -7.378
Zn Pd Au
5 2 1
Direct
0.000 0.000 0.000 Zn
0.132 0.632 0.500 Zn
0.368 0.868 0.500 Zn
0.632 0.132 0.500 Zn
0.868 0.368 0.500 Zn
0.250 0.250 0.000 Pd
0.750 0.750 0.000 Pd
0.500 0.500 0.000 Au
```

(15)
Density functional theory data (PBE) for a relaxed ZnPd6Au3 crystal.

POSCAR file:
```
ZnPd6Au3
1.0
4.418 -7.526 0.000
4.418 7.526 0.000
0.000 0.000 4.956
Zn Pd Au
2 12 6
Direct
0.219 0.781 0.500 Zn
0.781 0.219 0.000 Zn
0.027 0.449 0.283 Pd
0.062 0.938 0.713 Pd
0.291 0.387 0.126 Pd
0.291 0.709 0.023 Pd
0.387 0.291 0.626 Pd
0.449 0.027 0.783 Pd
0.551 0.973 0.283 Pd
0.613 0.709 0.126 Pd
0.709 0.291 0.523 Pd
0.709 0.613 0.626 Pd
0.938 0.062 0.213 Pd
0.973 0.551 0.783 Pd
0.059 0.266 0.703 Au
0.266 0.059 0.203 Au
0.391 0.609 0.574 Au
0.609 0.391 0.074 Au
0.734 0.941 0.703 Au
0.941 0.734 0.203 Au
```

Calculated values
polymorph energy (0 for the lowest one) = 101 meV per atom

(16)
Density functional theory data (PBE) for a relaxed Zn2PdAu crystal.

POSCAR file:
```
Zn2PdAu
1.0
-1.966 1.966 8.914
1.966 -1.966 8.914
1.966 1.966 -8.914
Zn Pd Au
4 2 2
Direct
0.115 0.625 0.990 Zn
0.375 0.365 0.490 Zn
0.635 0.125 0.010 Zn
0.875 0.885 0.510 Zn
0.000 0.000 0.000 Pd
0.750 0.250 0.500 Pd
0.250 0.750 0.500 Au
0.500 0.500 0.000 Au
```

(17)
Density functional theory data (PBE) for a relaxed Zn2PdAu2 crystal.

POSCAR file:
```
Zn2PdAu2
1.0
3.820 -2.180 0.000
3.820 2.180 0.000
-2.579 0.000 4.793
Zn Pd Au
2 1 2
Direct
0.101 0.101 0.304 Zn
0.899 0.899 0.696 Zn
0.500 0.500 0.500 Pd
0.288 0.288 0.864 Au
0.712 0.712 0.136 Au
```

Calculated values
polymorph energy (0 for the lowest one) = 0 meV per atom

(18)
Density functional theory data (PBE) for a relaxed ZnPd7Au3 crystal.

POSCAR file:
```
ZnPd7Au3
1.0
2.819 -4.595 0.000
2.819 4.595 0.000
-1.302 0.000 7.181
Zn Pd Au
1 7 3
Direct
0.000 0.000 0.000 Zn
0.137 0.137 0.668 Pd
0.303 0.803 0.223 Pd
0.324 0.324 0.320 Pd
0.474 0.976 0.893 Pd
0.803 0.303 0.223 Pd
0.825 0.825 0.325 Pd
0.976 0.474 0.893 Pd
0.145 0.632 0.560 Au
0.507 0.507 0.980 Au
0.632 0.145 0.560 Au
```

Calculated values
polymorph energy (0 for the lowest one) = 0 meV per atom

(19)
Density functional theory data (PBE) for a relaxed ZnPd8Au2 crystal.

POSCAR file:
```
ZnPd8Au2
1.0
4.989 -4.402 0.000
4.989 4.402 0.000
-1.523 0.000 4.549
Zn Pd Au
1 8 2
Direct
0.000 0.000 0.000 Zn
0.159 0.675 0.188 Pd
0.273 0.273 0.108 Pd
0.325 0.841 0.812 Pd
0.430 0.430 0.704 Pd
0.570 0.570 0.296 Pd
0.675 0.159 0.188 Pd
0.727 0.727 0.892 Pd
0.841 0.325 0.812 Pd
0.146 0.146 0.525 Au
0.854 0.854 0.475 Au
```

Calculated values
polymorph energy (0 for the lowest one) = 173 meV per atom

(20)
Density functional theory data (PBE) for a relaxed Zn6Pd3Au crystal.

POSCAR file:
```
Zn6Pd3Au
1.0
6.622 0.000 0.000
0.000 7.080 0.000
-5.564 0.000 6.703
Zn Pd Au
12 6 2
Direct
0.014 0.137 0.293 Zn
0.014 0.363 0.793 Zn
0.279 0.709 0.083 Zn
0.279 0.791 0.583 Zn
0.425 0.135 0.049 Zn
0.425 0.365 0.549 Zn
0.575 0.635 0.451 Zn
0.575 0.865 0.951 Zn
0.721 0.209 0.417 Zn
0.721 0.291 0.917 Zn
0.986 0.637 0.207 Zn
0.986 0.863 0.707 Zn
0.240 0.136 0.680 Pd
0.240 0.364 0.180 Pd
0.500 0.000 0.500 Pd
0.500 0.500 0.000 Pd
0.760 0.636 0.820 Pd
0.760 0.864 0.320 Pd
0.000 0.000 0.000 Au
0.000 0.500 0.500 Au
```

Calculated values
polymorph energy (0 for the lowest one) = 88 meV per atom

(21)
Density functional theory data (PBE) for a relaxed ZrZn2Pd2Au crystal.

POSCAR file:
```
ZrZn2Pd2Au
1.0
4.501 0.000 0.000
-2.251 3.898 0.000
0.000 0.000 5.692
Zr Zn Pd Au
1 2 2 1
Direct
0.000 0.000 0.000 Zr
0.333 0.667 0.670 Zn
0.667 0.333 0.330 Zn
0.333 0.667 0.165 Pd
0.667 0.333 0.835 Pd
0.000 0.000 0.500 Au
```

Table of uncorrected energy (eV per cell), in record order: -25.36, -51.50, -32.98, -37.65, -51.57, -40.51, -40.84, -37.41, -47.59, -30.44, -56.47, -32.03, -36.01, -22.72, -85.52, -23.03, -15.81, -48.16, -47.22, -58.87, -27.65
Table of energy of formation (eV per atom), in record order: -0.01, 0.29, -0.19, -0.29, -0.24, -0.20, -0.22, -0.33, -0.22, -0.18, -0.23, -0.20, -0.24, -0.34, -0.05, -0.12, -0.30, -0.06, 0.20, -0.29, -0.48